(1)
A plane-wave DFT calculation with meta-GGA SCAN was carried out for a PBEsol-optimized structure of CuPt2Au.

Lattice parameters (Å, degrees): 2.7631 2.7631 7.6426 90.00 90.00 90.00
Last column: nearest neighbours and their distance in Å.
Sites, in units of the cell vectors:
Pt 0.0000 0.0000 0.7271  4 Cu 2.61, 4 Pt 2.76, 4 Au 2.86
Pt 0.0000 0.0000 0.2729  4 Cu 2.61, 4 Pt 2.76, 4 Au 2.86
Cu 0.5000 0.5000 0.5000  8 Pt 2.61, 4 Cu 2.76
Au 0.5000 0.5000 0.0000  4 Au 2.76, 8 Pt 2.86

Output
* distance to the lowest polymorph of the same formula: 50.7 meV per atom
* DFT formation energy: -0.022 eV/atom

***

(2)
A plane-wave DFT calculation with meta-GGA SCAN was carried out for a PBEsol-optimized structure of Cu2PtAu.

Lattice parameters (Å, degrees): 2.8095 4.4239 4.8366 107.59 106.88 90.00
Last column: nearest neighbours and their distance in Å.
Sites, in units of the cell vectors:
Cu 0.2603 0.7218 0.5207  4 Cu 2.54-2.81, 3 Pt 2.61-2.67, 4 Au 2.62-2.63
Cu 0.9887 0.0258 0.9774  4 Cu 2.54-2.81, 4 Pt 2.61-2.64, 3 Au 2.62-2.66
Pt 0.5103 0.5448 0.0206  7 Cu 2.61-2.67, 2 Pt 2.81, 2 Au 2.84
Au 0.7407 0.2077 0.4813  7 Cu 2.62-2.66, 2 Au 2.81, 2 Pt 2.84

Output
* DFT formation energy: -0.098 eV/atom

***

Computed mass density (g/cm3) in order:
18.5, 15.8
Computed total moment (μB/f.u.) in order:
0.00, 0.00